[1]
# SrMg30VO32

SrMg30VO32 after structural relaxation (PBE+U, the Alexandria database).

The value obtained for the size of the total moment is 3.00 μB/f.u. As for the total energy: -384.4 eV per cell.

Unit cell a=8.6072 b=8.6072 c=8.6041 alpha=90.00 beta=90.00 gamma=90.00
Last column: nearest neighbours and their distance in Å.
Fractional positions:
Sr 0.0000 0.0000 0.0000  6 O 2.32
Mg 0.0000 0.0000 0.5000  6 O 1.98-2.18
Mg 0.0000 0.2552 0.2551  6 O 2.11-2.20
Mg 0.0000 0.2552 0.7449  6 O 2.11-2.20
Mg 0.0000 0.5000 0.0000  6 O 1.98-2.19
Mg 0.0000 0.5000 0.5000  6 O 2.11-2.16
Mg 0.0000 0.7448 0.2551  6 O 2.11-2.20
Mg 0.0000 0.7448 0.7449  6 O 2.11-2.20
Mg 0.2500 0.5000 0.2511  6 O 2.14-2.16
Mg 0.2500 0.5000 0.7489  6 O 2.14-2.16
Mg 0.2506 0.2506 0.5000  6 O 2.15-2.16
Mg 0.2506 0.7494 0.5000  6 O 2.15-2.16
Mg 0.2545 0.2545 0.0000  6 O 2.11-2.19
Mg 0.2545 0.7455 0.0000  6 O 2.11-2.19
Mg 0.2552 0.0000 0.2551  6 O 2.11-2.20
Mg 0.2552 0.0000 0.7449  6 O 2.11-2.20
Mg 0.5000 0.0000 0.0000  6 O 1.98-2.19
Mg 0.5000 0.0000 0.5000  6 O 2.11-2.16
Mg 0.5000 0.2500 0.2511  6 O 2.14-2.16
Mg 0.5000 0.2500 0.7489  6 O 2.14-2.16
Mg 0.5000 0.5000 0.5000  6 O 2.10-2.15
Mg 0.5000 0.7500 0.2511  6 O 2.14-2.16
Mg 0.5000 0.7500 0.7489  6 O 2.14-2.16
Mg 0.7448 0.0000 0.2551  6 O 2.11-2.20
Mg 0.7448 0.0000 0.7449  6 O 2.11-2.20
Mg 0.7455 0.2545 0.0000  6 O 2.11-2.19
Mg 0.7455 0.7455 0.0000  6 O 2.11-2.19
Mg 0.7494 0.2506 0.5000  6 O 2.15-2.16
Mg 0.7494 0.7494 0.5000  6 O 2.15-2.16
Mg 0.7500 0.5000 0.2511  6 O 2.14-2.16
Mg 0.7500 0.5000 0.7489  6 O 2.14-2.16
V 0.5000 0.5000 0.0000  6 O 2.17-2.20
O 0.0000 0.0000 0.2702  5 Mg 1.98-2.20
O 0.0000 0.0000 0.7298  5 Mg 1.98-2.20
O 0.0000 0.2537 0.5000  6 Mg 2.11-2.18
O 0.0000 0.2698 0.0000  5 Mg 1.98-2.20
O 0.0000 0.5000 0.2544  6 Mg 2.11-2.19
O 0.0000 0.5000 0.7456  6 Mg 2.11-2.19
O 0.0000 0.7302 0.0000  5 Mg 1.98-2.20
O 0.0000 0.7463 0.5000  6 Mg 2.11-2.18
O 0.2483 0.5000 0.0000  5 Mg 2.11-2.16, 1 V 2.17
O 0.2501 0.2501 0.2497  6 Mg 2.15
O 0.2501 0.2501 0.7503  6 Mg 2.15
O 0.2501 0.7499 0.2497  6 Mg 2.15
O 0.2501 0.7499 0.7503  6 Mg 2.15
O 0.2507 0.5000 0.5000  6 Mg 2.14-2.16
O 0.2537 0.0000 0.5000  6 Mg 2.11-2.18
O 0.2698 0.0000 0.0000  5 Mg 1.98-2.20
O 0.5000 0.0000 0.2544  6 Mg 2.11-2.19
O 0.5000 0.0000 0.7456  6 Mg 2.11-2.19
O 0.5000 0.2483 0.0000  5 Mg 2.11-2.16, 1 V 2.17
O 0.5000 0.2507 0.5000  6 Mg 2.14-2.16
O 0.5000 0.5000 0.2554  5 Mg 2.10-2.15, 1 V 2.20
O 0.5000 0.5000 0.7446  5 Mg 2.10-2.15, 1 V 2.20
O 0.5000 0.7493 0.5000  6 Mg 2.14-2.16
O 0.5000 0.7517 0.0000  5 Mg 2.11-2.16, 1 V 2.17
O 0.7302 0.0000 0.0000  5 Mg 1.98-2.20
O 0.7463 0.0000 0.5000  6 Mg 2.11-2.18
O 0.7493 0.5000 0.5000  6 Mg 2.14-2.16
O 0.7499 0.2501 0.2497  6 Mg 2.15
O 0.7499 0.2501 0.7503  6 Mg 2.15
O 0.7499 0.7499 0.2497  6 Mg 2.15
O 0.7499 0.7499 0.7503  6 Mg 2.15
O 0.7517 0.5000 0.0000  5 Mg 2.11-2.16, 1 V 2.17

=====

[2]
# SrMg4V3O12

SrMg4V3O12 after structural relaxation (PBE+U, the Alexandria database).

The value obtained for the size of the total moment is 1.00 μB/f.u. As for the total energy: -131.3 eV per cell.

Unit cell a=6.5865 b=6.5865 c=6.5865 alpha=109.47 beta=109.47 gamma=109.47
Last column: nearest neighbours and their distance in Å.
Fractional positions:
Sr 0.0000 0.0000 0.0000  12 O 2.78
Mg 0.0000 0.0000 0.5000  6 O 2.08
Mg 0.0000 0.5000 0.0000  6 O 2.08
Mg 0.5000 0.0000 0.0000  6 O 2.08
Mg 0.5000 0.5000 0.5000  6 O 2.08
V 0.0000 0.5000 0.5000  4 O 1.85
V 0.5000 0.0000 0.5000  4 O 1.85
V 0.5000 0.5000 0.0000  4 O 1.85
O 0.1563 0.8320 0.3244  1 V 1.85
O 0.1680 0.3244 0.4924  1 V 1.85
O 0.1680 0.6756 0.8437  1 V 1.85
O 0.3244 0.1563 0.8320  1 V 1.85
O 0.3244 0.4924 0.1680  1 V 1.85
O 0.4924 0.1680 0.3244  1 V 1.85
O 0.5076 0.8320 0.6756  1 V 1.85
O 0.6756 0.5076 0.8320  1 V 1.85
O 0.6756 0.8437 0.1680  1 V 1.85
O 0.8320 0.3244 0.1563  1 V 1.85
O 0.8320 0.6756 0.5076  1 V 1.85
O 0.8437 0.1680 0.6756  1 V 1.85

=====

[3]
# SrMgV2O7

SrMgV2O7 after structural relaxation (PBE+U, the Alexandria database).

The value obtained for the size of the total moment is 0.00 μB/f.u. As for the total energy: -630.9 eV per cell.

Unit cell a=6.9270 b=15.0368 c=11.4734 alpha=90.00 beta=99.31 gamma=90.00
Last column: nearest neighbours and their distance in Å.
Fractional positions:
Sr 0.0805 0.0055 0.2410  5 O 2.49-2.65
Sr 0.0805 0.4945 0.7410  5 O 2.49-2.65
Sr 0.3428 0.1243 0.9787  7 O 2.56-2.71
Sr 0.3428 0.3757 0.4787  7 O 2.56-2.71
Sr 0.6572 0.6243 0.5213  7 O 2.56-2.71
Sr 0.6572 0.8757 0.0213  7 O 2.56-2.71
Sr 0.9195 0.5055 0.2590  5 O 2.49-2.65
Sr 0.9195 0.9945 0.7590  5 O 2.49-2.65
Mg 0.0070 0.2455 0.2494  6 O 2.09-2.16
Mg 0.0070 0.2545 0.7494  6 O 2.09-2.16
Mg 0.3599 0.6741 0.9224  6 O 2.02-2.21
Mg 0.3599 0.8259 0.4224  6 O 2.02-2.21
Mg 0.6401 0.1741 0.5776  6 O 2.02-2.21
Mg 0.6401 0.3259 0.0776  6 O 2.02-2.21
Mg 0.9930 0.7455 0.2506  6 O 2.09-2.16
Mg 0.9930 0.7545 0.7506  6 O 2.09-2.16
V 0.1309 0.1371 0.5208  4 O 1.72-1.77
V 0.1309 0.3629 0.0208  4 O 1.72-1.77
V 0.1550 0.6368 0.5197  4 O 1.71-1.77
V 0.1550 0.8632 0.0197  4 O 1.71-1.77
V 0.4109 0.5128 0.1805  3 O 1.70-1.90
V 0.4109 0.9872 0.6805  3 O 1.70-1.90
V 0.4809 0.7021 0.1991  4 O 1.70-1.84
V 0.4809 0.7979 0.6991  4 O 1.70-1.84
V 0.5191 0.2021 0.3009  4 O 1.70-1.84
V 0.5191 0.2979 0.8009  4 O 1.70-1.84
V 0.5891 0.0128 0.3195  3 O 1.70-1.90
V 0.5891 0.4872 0.8195  3 O 1.70-1.90
V 0.8450 0.1368 0.9803  4 O 1.71-1.77
V 0.8450 0.3632 0.4803  4 O 1.71-1.77
V 0.8691 0.6371 0.9792  4 O 1.72-1.77
V 0.8691 0.8629 0.4792  4 O 1.72-1.77
O 0.0007 0.6441 0.3842  1 V 1.74
O 0.0007 0.8559 0.8842  1 V 1.74
O 0.0073 0.6479 0.6285  1 V 1.75
O 0.0073 0.8521 0.1285  1 V 1.75
O 0.0364 0.1411 0.3718  1 V 1.73
O 0.0364 0.3589 0.8718  1 V 1.73
O 0.0459 0.6594 0.8878  1 V 1.77
O 0.0459 0.8406 0.3878  1 V 1.77
O 0.2238 0.0284 0.5525  2 V 1.77-1.90
O 0.2238 0.4716 0.0525  2 V 1.77-1.90
O 0.2553 0.5326 0.5394  1 V 1.71
O 0.2553 0.9674 0.0394  1 V 1.71
O 0.2856 0.0190 0.7890  1 V 1.70
O 0.2856 0.4810 0.2890  1 V 1.70
O 0.3077 0.7464 0.2757  1 V 1.73
O 0.3077 0.7536 0.7757  1 V 1.73
O 0.3135 0.2353 0.7970  1 V 1.70
O 0.3135 0.2647 0.2970  1 V 1.70
O 0.3259 0.2088 0.5491  1 V 1.72
O 0.3259 0.2912 0.0491  1 V 1.72
O 0.3491 0.7151 0.5377  1 V 1.77
O 0.3491 0.7849 0.0377  1 V 1.77
O 0.3947 0.6187 0.0850  2 V 1.84-1.93, 1 Mg 2.02
O 0.3947 0.8813 0.5850  2 V 1.84-1.93, 1 Mg 2.02
O 0.4022 0.5592 0.8299  1 V 1.71
O 0.4022 0.9408 0.3299  1 V 1.71
O 0.4331 0.1037 0.2157  2 V 1.82-2.01
O 0.4331 0.3963 0.7157  2 V 1.82-2.01
O 0.5669 0.6037 0.2843  2 V 1.82-2.01
O 0.5669 0.8963 0.7843  2 V 1.82-2.01
O 0.5978 0.0592 0.6701  1 V 1.71
O 0.5978 0.4408 0.1701  1 V 1.71
O 0.6053 0.1187 0.4150  2 V 1.84-1.93, 1 Mg 2.02
O 0.6053 0.3813 0.9150  2 V 1.84-1.93, 1 Mg 2.02
O 0.6509 0.2151 0.9623  1 V 1.77
O 0.6509 0.2849 0.4623  1 V 1.77
O 0.6741 0.7088 0.9509  1 V 1.72
O 0.6741 0.7912 0.4509  1 V 1.72
O 0.6865 0.7353 0.7030  1 V 1.70
O 0.6865 0.7647 0.2030  1 V 1.70
O 0.6923 0.2464 0.2243  1 V 1.73
O 0.6923 0.2536 0.7243  1 V 1.73
O 0.7144 0.5190 0.7110  1 V 1.70
O 0.7144 0.9810 0.2110  1 V 1.70
O 0.7447 0.0326 0.9606  1 V 1.71
O 0.7447 0.4674 0.4606  1 V 1.71
O 0.7762 0.5284 0.9475  2 V 1.77-1.90
O 0.7762 0.9716 0.4475  2 V 1.77-1.90
O 0.9541 0.1594 0.6122  1 V 1.77
O 0.9541 0.3406 0.1122  1 V 1.77
O 0.9636 0.6411 0.1282  1 V 1.73
O 0.9636 0.8589 0.6282  1 V 1.73
O 0.9927 0.1479 0.8715  1 V 1.75
O 0.9927 0.3521 0.3715  1 V 1.75
O 0.9993 0.1441 0.1158  1 V 1.74
O 0.9993 0.3559 0.6158  1 V 1.74

=====

[4]
# SrMgW2O8

SrMgW2O8 after structural relaxation (PBE+U, the Alexandria database).

The value obtained for the size of the total moment is 0.00 μB/f.u. As for the total energy: -84.1 eV per cell.

Unit cell a=6.2523 b=6.2523 c=6.2523 alpha=107.22 beta=107.22 gamma=114.08
Last column: nearest neighbours and their distance in Å.
Fractional positions:
Sr 0.0000 0.0000 0.0000  4 O 2.39
Mg 0.2500 0.7500 0.5000  4 O 2.32
W 0.5000 0.5000 0.0000  4 O 1.83
W 0.7500 0.2500 0.5000  4 O 1.81
O 0.3414 0.1424 0.8009  1 W 1.83
O 0.3414 0.5405 0.1991  1 W 1.83
O 0.3932 0.0801 0.3131  1 W 1.81
O 0.4595 0.6586 0.8009  1 W 1.83
O 0.7669 0.0801 0.6869  1 W 1.81
O 0.8576 0.6586 0.1991  1 W 1.83
O 0.9199 0.2331 0.3131  1 W 1.81
O 0.9199 0.6068 0.6869  1 W 1.81